[1]
La2Al5Pt4 | Alexandria | GGA-PBE | relaxed; magnetization = 0.000 μB/cell; energy of formation = -1024 meV/atom; VASP energy = -5.818 eV/atom
1.0
5.052 0.000 2.412
2.526 4.887 1.206
-0.876 0.000 8.332
Pt La Al
4 2 5
direct
0.523 0.691 0.263
0.214 0.309 0.263
0.477 0.309 0.737
0.786 0.691 0.737
0.135 0.000 0.730
0.865 0.000 0.270
0.500 0.500 0.000
0.000 0.500 0.000
0.250 0.500 0.500
0.500 0.000 0.000
0.750 0.500 0.500

---

[2]
SrYBr2 | Alexandria | GGA-PBE | relaxed; magnetization = 0.000 μB/cell; E_form (uncorrected) = -0.8697 eV/atom; excess energy over the best structure of this formula in the dataset = 345 meV per atom; VASP energy = -3.743 eV/atom
1.0
-5.730 1.356 3.433
-3.323 -4.655 -3.707
-2.922 -6.433 4.431
Y Br Sr
2 4 2
direct
0.750 0.250 0.500
0.000 0.000 0.000
0.875 0.900 0.750
0.100 0.625 0.250
0.375 0.350 0.750
0.650 0.125 0.250
0.500 0.500 0.000
0.250 0.750 0.500